Here is K4Ac3ScS8 after structural relaxation from the Alexandria database. Energies are from GGA-PBE.

Crystal system: trigonal
E, eV for the cell shown: -85.1

abc: 8.581 8.920 8.581
angles: 118.76 120.00 90.00
Atoms (fractional coordinates):
Sc (0.000, 0.500, 0.000)
S (0.221, 0.703, 0.442)
S (0.260, 0.280, 0.520)
S (0.740, 0.720, 0.480)
S (0.762, 0.703, 0.983)
S (0.779, 0.297, 0.017)
S (0.221, 0.703, 0.983)
S (0.779, 0.297, 0.558)
S (0.238, 0.297, 0.017)
Ac (0.500, 0.500, 0.500)
Ac (0.000, 0.500, 0.500)
Ac (0.500, 0.500, 0.000)
K (0.500, 0.000, 0.000)
K (0.500, 0.000, 0.500)
K (0.000, 0.000, 0.000)
K (0.000, 0.000, 0.500)

=====

Here is MnFeAgCl5 after structural relaxation from the Alexandria database. Energies are from GGA-PBE.

Crystal system: monoclinic
E, eV for the cell shown: -70.9

abc: 7.147 7.147 9.325
angles: 101.89 101.89 114.31
Each line ends with the local moment (μB).
Atoms (fractional coordinates):
Cl (0.338, 0.966, 0.637)  0.08
Cl (0.034, 0.662, 0.863)  0.08
Cl (0.075, 0.925, 0.250)  0.07
Cl (0.662, 0.034, 0.363)  0.08
Cl (0.596, 0.762, 0.949)  0.11
Cl (0.238, 0.404, 0.551)  0.11
Cl (0.966, 0.338, 0.137)  0.08
Cl (0.925, 0.075, 0.750)  0.07
Cl (0.404, 0.238, 0.051)  0.11
Cl (0.762, 0.596, 0.449)  0.11
Mn (0.000, 0.000, 0.500)  4.44
Mn (0.000, 0.000, 0.000)  4.44
Ag (0.699, 0.301, 0.750)  0.02
Ag (0.301, 0.699, 0.250)  0.02
Fe (0.305, 0.695, 0.750)  3.44
Fe (0.695, 0.305, 0.250)  3.44

=====

Here is CoReRhAu2 after structural relaxation from the Alexandria database. Energies are from GGA-PBE.

Crystal system: tetragonal
E, eV for the cell shown: -24.5

abc: 5.007 4.571 5.007
angles: 90.00 90.00 90.00
Each line ends with the local moment (μB).
Atoms (fractional coordinates):
Co (0.500, 0.500, 0.500)  2.19
Rh (0.000, 0.000, 0.000)  0.09
Au (0.500, 0.000, 0.000)  0.04
Au (0.000, 0.000, 0.500)  0.05
Re (0.000, 0.500, 0.000)  1.47

=====

Number 1: V 472.89 Å³/cell. Number 2: V 401.55 Å³/cell. Number 3: V 114.62 Å³/cell.